No. 1
Below is a relaxed structure of Y3NpO6F2, with properties calculated at the PBE level.

abc: 4.7318 6.7341 6.8136
angles: 119.61 87.27 90.00
With the nearest neighbours (Å) after each atom.
Positions (direct):
O (0.7037, 0.8351, 0.6702)  1 Np 2.13, 2 Y 2.21
O (0.2963, 0.1649, 0.3298)  1 Np 2.13, 2 Y 2.21
O (0.7263, 0.8308, 0.1544)  1 Np 2.20, 2 Y 2.26-2.30
O (0.7263, 0.3236, 0.1544)  1 Np 2.20, 2 Y 2.26-2.30
O (0.2737, 0.1692, 0.8456)  1 Np 2.20, 2 Y 2.26-2.30
O (0.2737, 0.6764, 0.8456)  1 Np 2.20, 2 Y 2.26-2.30
F (0.2390, 0.6702, 0.3403)  3 Y 2.32-2.36
F (0.7610, 0.3298, 0.6597)  3 Y 2.32-2.36
Y (0.5000, 0.5000, 0.5000)  4 O 2.21-2.26, 2 F 2.32
Y (0.5000, 0.0000, 0.5000)  4 O 2.21-2.26, 2 F 2.32
Y (0.0000, 0.5000, 0.0000)  4 O 2.30, 2 F 2.36
Np (0.5000, 0.0000, 0.0000)  6 O 2.13-2.20

DOS at the Fermi energy: 7.7 states/eV per cell
Raw formation energy: -3345 meV/atom
Total magnetization: 0.17 μB/atom
SG: C2/m

No. 2
Below is a relaxed structure of NpZnO3F6, with properties calculated at the PBE level.

abc: 6.8843 6.8843 9.2879
angles: 78.71 78.71 63.24
With the nearest neighbours (Å) after each atom.
Positions (direct):
F (0.6296, 0.1598, 0.5441)  1 Np 2.06
F (0.6275, 0.0390, 0.9551)  1 Np 2.11
F (0.8402, 0.3704, 0.4559)  1 Np 2.06
F (0.4133, 0.3898, 0.0793)  1 Zn 2.09, 1 Np 2.17
F (0.5600, 0.6104, 0.2822)  1 Np 2.05
F (0.3896, 0.4400, 0.7178)  1 Np 2.05
F (0.6035, 0.7016, 0.5970)  1 Zn 2.03, 1 Np 2.21
F (0.2984, 0.3965, 0.4030)  1 Zn 2.03, 1 Np 2.21
F (0.9610, 0.3725, 0.0449)  1 Np 2.11
F (0.7369, 0.1616, 0.2250)  1 Np 2.05
F (0.6102, 0.5867, 0.9207)  1 Zn 2.09, 1 Np 2.17
F (0.8384, 0.2631, 0.7750)  1 Np 2.05
Np (0.7601, 0.2399, 0.0000)  1 O 1.82
Np (0.5043, 0.4957, 0.5000)  1 O 1.80
Zn (0.1536, 0.3838, 0.2368)  2 O 1.88, 2 F 2.03-2.09
Zn (0.6162, 0.8464, 0.7632)  2 O 1.88, 2 F 2.03-2.09
O (0.9157, 0.7798, 0.7442)  1 Zn 1.88
O (0.2202, 0.0843, 0.2558)  1 Zn 1.88
O (0.0119, 0.9881, 0.0000)  1 Np 1.82
O (0.2548, 0.7452, 0.5000)  1 Np 1.80
O (0.3244, 0.0580, 0.7891)  1 Zn 1.88
O (0.9420, 0.6756, 0.2109)  1 Zn 1.88

DOS at the Fermi energy: 6.8 states/eV per cell
Raw formation energy: -1739 meV/atom
Total magnetization: 0.27 μB/atom
SG: C2

No. 3
Below is a relaxed structure of NpZn3O6F2, with properties calculated at the PBE level.

abc: 4.5946 5.9908 6.2489
angles: 118.64 90.30 90.00
With the nearest neighbours (Å) after each atom.
Positions (direct):
O (0.2579, 0.1704, 0.8563)  1 Np 1.99, 1 Zn 2.10
O (0.7040, 0.8304, 0.6608)  2 Zn 1.97, 1 Np 2.09
O (0.2579, 0.6859, 0.8563)  1 Np 1.99, 1 Zn 2.10
O (0.2960, 0.1696, 0.3392)  2 Zn 1.97, 1 Np 2.09
O (0.7421, 0.8296, 0.1437)  1 Np 1.99, 1 Zn 2.10
O (0.7421, 0.3141, 0.1437)  1 Np 1.99, 1 Zn 2.10
Zn (0.5000, 0.5000, 0.5000)  2 O 1.97, 2 F 2.10
Zn (0.5000, 0.0000, 0.5000)  2 O 1.97, 2 F 2.10
Zn (0.0000, 0.5000, 0.0000)  4 O 2.10, 2 F 2.14
F (0.2482, 0.6655, 0.3310)  3 Zn 2.10-2.14
F (0.7518, 0.3345, 0.6690)  3 Zn 2.10-2.14
Np (0.5000, 0.0000, 0.0000)  6 O 1.99-2.09

DOS at the Fermi energy: 9.7 states/eV per cell
Raw formation energy: -1809 meV/atom
Total magnetization: 0.00 μB/atom
SG: C2/m

No. 4
Below is a relaxed structure of Np2PF, with properties calculated at the PBE level.

abc: 3.8262 3.8262 6.3816
angles: 72.56 72.56 60.00
With the nearest neighbours (Å) after each atom.
Positions (direct):
F (0.0000, 0.0000, 0.0000)  6 Np 2.59
Np (0.2579, 0.2579, 0.2263)  3 F 2.59, 3 P 2.75
Np (0.7421, 0.7421, 0.7737)  3 F 2.59, 3 P 2.75
P (0.5000, 0.5000, 0.5000)  6 Np 2.75

DOS at the Fermi energy: 10.6 states/eV per cell
Raw formation energy: -1246 meV/atom
Total magnetization: 2.08 μB/atom
SG: R-3m

No. 5
Below is a relaxed structure of NpPF, with properties calculated at the PBE level.

abc: 3.3209 3.3209 5.2474
angles: 108.45 108.45 90.00
With the nearest neighbours (Å) after each atom.
Positions (direct):
Np (0.6875, 0.6875, 0.3750)  4 F 2.58, 4 P 2.87
P (0.0110, 0.0110, 0.0221)  1 F 2.73, 5 Np 2.87-3.04
F (0.3015, 0.3015, 0.6030)  4 Np 2.58, 1 P 2.73

DOS at the Fermi energy: 5.6 states/eV per cell
Raw formation energy: -1286 meV/atom
Total magnetization: 1.15 μB/atom
SG: I4mm

No. 6
Below is a relaxed structure of NpPF, with properties calculated at the PBE level.

abc: 3.7689 4.0156 4.0156
angles: 120.00 90.00 90.00
With the nearest neighbours (Å) after each atom.
Positions (direct):
Np (0.1664, 0.6667, 0.3333)  3 F 2.32
P (0.6666, 0.3333, 0.6667)  6 F 2.99, 6 Np 2.99
F (0.1669, 0.0000, 0.0000)  3 Np 2.32

DOS at the Fermi energy: 8.5 states/eV per cell
Raw formation energy: -1689 meV/atom
Total magnetization: 1.01 μB/atom
SG: P-6m2

No. 7
Below is a relaxed structure of NpPF, with properties calculated at the PBE level.

abc: 3.5113 6.7973 8.7603
angles: 76.13 101.56 90.00
With the nearest neighbours (Å) after each atom.
Positions (direct):
F (0.4256, 0.0410, 0.8513)  2 Np 2.23-2.29, 1 F 2.48
F (0.5744, 0.9590, 0.1487)  2 Np 2.23-2.29, 1 F 2.48
F (0.0031, 0.2927, 0.0062)  4 Np 2.55-2.64, 1 F 2.79
F (0.9969, 0.7073, 0.9938)  4 Np 2.55-2.64, 1 F 2.79
Np (0.3922, 0.3789, 0.7844)  1 F 2.23
Np (0.6078, 0.6211, 0.2156)  1 F 2.23
Np (0.6208, 0.2467, 0.2415)  1 F 2.29, 1 Np 2.50
Np (0.3792, 0.7533, 0.7585)  1 F 2.29, 1 Np 2.50
P (0.7493, 0.8713, 0.4986)  4 P 2.45-2.48
P (0.2507, 0.1287, 0.5014)  4 P 2.45-2.48
P (0.7640, 0.3708, 0.5281)  4 P 2.45
P (0.2360, 0.6292, 0.4719)  4 P 2.45

DOS at the Fermi energy: 15.2 states/eV per cell
Raw formation energy: -1404 meV/atom
Total magnetization: 0.99 μB/atom
SG: C2/m

No. 8
Below is a relaxed structure of Np2PaF8, with properties calculated at the PBE level.

abc: 3.9267 6.7546 6.8511
angles: 119.54 106.65 90.00
With the nearest neighbours (Å) after each atom.
Positions (direct):
F (0.3421, 0.1165, 0.6843)  3 Np 2.50-2.57, 1 Pa 2.57, 5 F 2.65-2.70
F (0.8554, 0.8554, 0.7107)  2 Pa 2.55, 8 F 2.60-2.70, 2 Np 2.75
F (0.6579, 0.8835, 0.3157)  3 Np 2.50-2.57, 1 Pa 2.57, 5 F 2.65-2.70
F (0.6579, 0.4323, 0.3157)  3 Np 2.50-2.57, 1 Pa 2.57, 5 F 2.65-2.70
F (0.0000, 0.3002, 0.0000)  2 Np 2.47, 7 F 2.60-2.70
F (0.0000, 0.6998, 0.0000)  2 Np 2.47, 7 F 2.60-2.70
F (0.3421, 0.5677, 0.6843)  3 Np 2.50-2.57, 1 Pa 2.57, 5 F 2.65-2.70
F (0.1446, 0.1446, 0.2893)  2 Pa 2.55, 8 F 2.60-2.70, 2 Np 2.75
Np (0.8161, 0.3161, 0.6322)  10 F 2.47-2.75
Np (0.1839, 0.6839, 0.3677)  10 F 2.47-2.75
Pa (0.5000, 0.0000, 0.0000)  12 F 2.55-2.82

DOS at the Fermi energy: 15.8 states/eV per cell
Raw formation energy: -3185 meV/atom
Total magnetization: 1.00 μB/atom
SG: Immm

Which calculated density belongs to each record? In order, 5.6, 4.0, 6.2, 11.5, 9.2, 9.1, 9.6, 9.5 g/cm³.